No. 1
A plane-wave DFT calculation with PBE-GGA was carried out for Pm4SnBiSe2 after structural relaxation.

Space group ... P2/m (10)

Geometry as POSCAR:
```
Pm4SnBiSe2
1.0
-0.074 -4.220 -1.207
7.463 0.208 -1.183
3.644 -1.896 6.404
Pm Sn Bi Se
4 1 1 2
Direct
0.000 0.759 0.751 Pm
0.000 0.241 0.249 Pm
0.500 0.762 0.241 Pm
0.500 0.238 0.759 Pm
0.500 0.500 0.000 Sn
0.000 0.500 0.500 Bi
0.000 0.000 0.000 Se
0.500 0.000 0.500 Se
```

No. 2
A plane-wave DFT calculation with PBE-GGA was carried out for HfCo3Pd after structural relaxation.

Space group ... Pm-3m (221)
Distance to the lowest polymorph of the same formula ... 0.271 eV/atom
E_form ... 133 kJ per mole of atoms

Geometry as POSCAR:
```
HfCo3Pd
1.0
-4.056 -0.825 1.670
1.862 -1.684 3.690
-0.052 4.050 1.874
Co Hf Pd
3 1 1
Direct
0.000 0.500 0.000 Co
0.000 0.000 0.500 Co
0.500 0.000 0.000 Co
0.000 0.000 0.000 Hf
0.500 0.500 0.500 Pd
```

No. 3
A plane-wave DFT calculation with PBE-GGA was carried out for La2Sm3Tl3 after structural relaxation.

Space group ... Immm (71)
E_form ... -27 kJ per mole of atoms

Geometry as POSCAR:
```
La2Sm3Tl3
1.0
-2.209 3.005 2.677
-3.496 -3.471 1.011
8.497 -3.030 6.477
La Sm Tl
2 3 3
Direct
0.740 0.240 0.479 La
0.260 0.760 0.521 La
0.617 0.617 0.233 Sm
0.383 0.383 0.767 Sm
0.500 0.000 0.000 Sm
0.124 0.124 0.247 Tl
0.000 0.500 0.000 Tl
0.876 0.876 0.753 Tl
```

No. 4
A plane-wave DFT calculation with PBE-GGA was carried out for Mg2GeP after structural relaxation.

Space group ... I-42d (122)
Distance to the lowest polymorph of the same formula ... 0.000 eV/atom
E_form ... -5 kJ per mole of atoms

Geometry as POSCAR:
```
Mg2GeP
1.0
7.383 0.000 0.000
0.000 7.383 0.000
3.692 3.692 2.972
P Ge Mg
2 2 4
Direct
0.500 0.500 0.000 P
0.250 0.750 0.500 P
0.000 0.000 0.000 Ge
0.750 0.250 0.500 Ge
0.584 0.125 0.250 Mg
0.166 0.625 0.250 Mg
0.375 0.416 0.750 Mg
0.875 0.834 0.750 Mg
```

Electronic total energy
In order: -5.57, -5.92, -4.16, -3.35
Unit: eV/atom
Calculated volume
In order: 29.739, 17.784, 30.511, 20.251
Unit: A^3/atom